Record 1
{"formula": "LiB2I", "functional": "PBE", "state": "optimized geometry", "cell": [[-5.4883, -1.7932, -0.0164], [1.3482, -4.0912, -3.8447], [-1.1340, -5.8382, 1.4793]], "species": ["I", "I", "B", "B", "B", "B", "Li", "Li"], "frac_coords": [[0.0000, 0.0000, 0.0000], [0.7500, 0.2500, 0.5000], [0.6129, 0.1250, 0.2500], [0.1371, 0.6250, 0.2500], [0.3750, 0.3871, 0.7500], [0.8750, 0.8629, 0.7500], [0.5000, 0.5000, 0.0000], [0.2500, 0.7500, 0.5000]], "energy_ev_per_atom": -2.560, "e_above_lowest_polymorph_ev_per_atom": 0.000, "dos_ef_per_ev_atom": 0.28, "space_group": "I-42d, No. 122", "formation_energy_uncorrected_mev_per_atom": 1644.7}

---

Record 2
{"formula": "Tb7Y3Sc2", "functional": "PBE", "state": "optimized geometry", "cell": [[6.3065, 0.0000, 1.3867], [3.0008, 5.5468, 1.3867], [0.7977, 0.4754, 11.4056]], "species": ["Tb", "Tb", "Tb", "Tb", "Tb", "Tb", "Tb", "Y", "Y", "Y", "Sc", "Sc"], "frac_coords": [[0.5000, 0.5000, 0.5000], [0.0791, 0.5840, 0.7529], [0.5840, 0.5840, 0.7529], [0.5840, 0.0791, 0.7529], [0.9209, 0.4160, 0.2471], [0.4160, 0.9209, 0.2471], [0.4160, 0.4160, 0.2471], [0.0000, 0.0000, 0.0000], [0.1507, 0.1507, 0.5478], [0.8493, 0.8493, 0.4522], [0.3335, 0.3335, 0.9994], [0.6665, 0.6665, 0.0006]], "energy_ev_per_atom": -5.095, "e_above_lowest_polymorph_ev_per_atom": 0.177, "dos_ef_per_ev_atom": 1.76, "space_group": "R-3m, No. 166"}

---

Record 3
{"formula": "Zn2PdAu6", "functional": "PBE", "state": "optimized geometry", "cell": [[3.6231, 0.0000, -1.0835], [-0.5988, 6.2925, -2.0025], [0.0063, 0.2753, 6.6207]], "species": ["Zn", "Zn", "Pd", "Au", "Au", "Au", "Au", "Au", "Au"], "frac_coords": [[0.9483, 0.1924, 0.8965], [0.0517, 0.8076, 0.1035], [0.5000, 0.5000, 0.0000], [0.3985, 0.8454, 0.7971], [0.6015, 0.1546, 0.2029], [0.7120, 0.8326, 0.4241], [0.1655, 0.4946, 0.3310], [0.2880, 0.1674, 0.5759], [0.8345, 0.5054, 0.6690]], "energy_ev_per_atom": -3.212, "e_above_lowest_polymorph_ev_per_atom": 0.000, "dos_ef_per_ev_atom": 0.31, "space_group": "C2/m, No. 12"}

---

Record 4
{"formula": "Te4MoPd", "functional": "PBE", "state": "optimized geometry", "cell": [[4.1275, 0.0000, 0.0000], [0.0001, 6.3615, -0.0629], [0.0001, -0.0522, 6.3616]], "species": ["Te", "Te", "Te", "Te", "Mo", "Pd"], "frac_coords": [[0.5000, 0.3038, 0.6963], [0.0000, 0.8004, 0.8004], [0.0000, 0.1996, 0.1996], [0.5000, 0.6962, 0.3037], [0.0000, 0.5000, 0.5000], [0.5000, 0.0000, 0.0000]], "energy_ev_per_atom": -4.746, "dos_ef_per_ev_atom": 0.95, "space_group": "Cmmm, No. 65", "formation_energy_uncorrected_mev_per_atom": 19.4}

---

Record 5
{"formula": "ScBH", "functional": "PBE", "state": "optimized geometry", "cell": [[-2.2499, -2.0036, 0.5398], [3.3456, -0.0872, 4.9432], [-2.4349, 2.8121, 0.2894]], "species": ["Sc", "Sc", "H", "H", "B", "B"], "frac_coords": [[0.3781, 0.7563, 0.1288], [0.6219, 0.2437, 0.8712], [0.0000, 0.0000, 0.5000], [0.0000, 0.0000, 0.0000], [0.7702, 0.5403, 0.5190], [0.2298, 0.4597, 0.4810]], "energy_ev_per_atom": -5.748, "e_above_lowest_polymorph_ev_per_atom": 0.418, "dos_ef_per_ev_atom": 0.40, "space_group": "C2/m, No. 12"}

---

Record 6
{"formula": "Np3Ga7", "functional": "PBE", "state": "optimized geometry", "cell": [[-0.1718, -3.9466, -2.8737], [0.3436, -1.4847, 6.1704], [-7.4729, 0.0189, 0.4207]], "species": ["Np", "Np", "Np", "Ga", "Ga", "Ga", "Ga", "Ga", "Ga", "Ga"], "frac_coords": [[0.3216, 0.6432, 0.5000], [0.6784, 0.3568, 0.5000], [0.5000, 0.0000, 0.0000], [0.1127, 0.2255, 0.7814], [0.8873, 0.7745, 0.2186], [0.8873, 0.7745, 0.7814], [0.1127, 0.2255, 0.2186], [0.5000, 0.5000, 0.0000], [0.0000, 0.5000, 0.0000], [0.0000, 0.0000, 0.5000]], "energy_ev_per_atom": -5.844, "dos_ef_per_ev_atom": 2.14, "space_group": "Cmmm, No. 65"}

---

Record 7
{"formula": "LiCaTc2", "functional": "PBE", "state": "optimized geometry", "cell": [[-1.3884, 9.3777, 3.1268], [-1.0032, 8.1734, 5.6422], [1.2175, 9.0077, 4.1261]], "species": ["Ca", "Li", "Tc", "Tc"], "frac_coords": [[0.2500, 0.2500, 0.2500], [0.7500, 0.7500, 0.7500], [0.0043, 0.0043, 0.0043], [0.4957, 0.4957, 0.4957]], "energy_ev_per_atom": -5.425, "e_above_lowest_polymorph_ev_per_atom": 0.515, "dos_ef_per_ev_atom": 1.51, "space_group": "R-3m, No. 166"}

---

Record 8
{"formula": "KTa2PO8", "functional": "PBE", "state": "optimized geometry", "cell": [[8.5205, -0.0208, -0.0290], [-2.0897, 8.2603, -0.0290], [-2.0897, -2.6775, 7.8144]], "species": ["K", "K", "K", "Ta", "Ta", "Ta", "Ta", "Ta", "Ta", "P", "P", "P", "O", "O", "O", "O", "O", "O", "O", "O", "O", "O", "O", "O", "O", "O", "O", "O", "O", "O", "O", "O", "O", "O", "O", "O"], "frac_coords": [[0.5879, 0.3516, 0.8657], [0.8657, 0.5879, 0.3516], [0.3516, 0.8657, 0.5879], [0.3553, 0.0398, 0.1583], [0.0398, 0.1583, 0.3553], [0.9691, 0.6529, 0.8452], [0.1583, 0.3553, 0.0398], [0.6529, 0.8452, 0.9691], [0.8452, 0.9691, 0.6529], [0.7267, 0.2701, 0.5019], [0.2701, 0.5019, 0.7267], [0.5019, 0.7267, 0.2701], [0.9710, 0.0226, 0.4980], [0.8483, 0.0011, 0.1540], [0.7057, 0.1281, 0.5860], [0.2111, 0.0665, 0.3132], [0.0011, 0.1540, 0.8483], [0.8717, 0.2857, 0.4223], [0.5577, 0.2310, 0.3568], [0.7665, 0.4432, 0.6416], [0.3132, 0.2111, 0.0665], [0.2857, 0.4223, 0.8717], [0.2310, 0.3568, 0.5577], [0.0665, 0.3132, 0.2111], [0.0226, 0.4980, 0.9710], [0.7898, 0.6849, 0.9309], [0.4432, 0.6416, 0.7665], [0.1281, 0.5860, 0.7057], [0.9309, 0.7898, 0.6849], [0.3568, 0.5577, 0.2310], [0.6416, 0.7665, 0.4432], [0.5860, 0.7057, 0.1281], [0.6849, 0.9309, 0.7898], [0.4223, 0.8717, 0.2857], [0.1540, 0.8483, 0.0011], [0.4980, 0.9710, 0.0226]], "energy_ev_per_atom": -8.473, "dos_ef_per_ev_atom": 0.00, "space_group": "R3, No. 146", "formation_energy_uncorrected_mev_per_atom": -2649.7}

---

Record 9
{"formula": "Ca2BiSe", "functional": "PBE", "state": "optimized geometry", "cell": [[0.0000, 3.8424, 3.8424], [3.8424, 0.0000, 3.8424], [3.8424, 3.8424, 0.0000]], "species": ["Ca", "Ca", "Bi", "Se"], "frac_coords": [[0.2500, 0.2500, 0.2500], [0.7500, 0.7500, 0.7500], [0.5000, 0.5000, 0.5000], [0.0000, 0.0000, 0.0000]], "energy_ev_per_atom": -3.836, "e_above_lowest_polymorph_ev_per_atom": 0.333, "dos_ef_per_ev_atom": 1.26, "space_group": "Fm-3m, No. 225", "formation_energy_uncorrected_mev_per_atom": -993.6}

---

Record 10
{"formula": "Th2ScGe2", "functional": "PBE", "state": "optimized geometry", "cell": [[-2.8362, -2.8482, 1.6186], [-0.2918, -3.5221, -6.7089], [5.7255, -4.5002, 2.1135]], "species": ["Th", "Th", "Th", "Th", "Sc", "Sc", "Ge", "Ge", "Ge", "Ge"], "frac_coords": [[0.5000, 0.1708, 0.6708], [0.5000, 0.6708, 0.8292], [0.5000, 0.8292, 0.3292], [0.5000, 0.3292, 0.1708], [0.0000, 0.0000, 0.0000], [0.0000, 0.5000, 0.5000], [0.0000, 0.3656, 0.8656], [0.0000, 0.8656, 0.6344], [0.0000, 0.6344, 0.1344], [0.0000, 0.1344, 0.3656]], "energy_ev_per_atom": -6.811, "dos_ef_per_ev_atom": 0.85, "space_group": "P4/mbm, No. 127"}

---

Record 11
{"formula": "CoAgSe", "functional": "PBE", "state": "optimized geometry", "cell": [[-1.7161, 2.1107, 1.6326], [1.6621, -2.2223, 1.5376], [4.8613, 3.7853, 0.2160]], "species": ["Ag", "Co", "Se"], "frac_coords": [[0.0000, 0.0000, 0.0460], [0.6667, 0.3333, 0.3717], [0.3333, 0.6667, 0.5823]], "energy_ev_per_atom": -4.418, "e_above_lowest_polymorph_ev_per_atom": 0.051, "space_group": "P3m1, No. 156", "formation_energy_uncorrected_mev_per_atom": 62.4}

---

Record 12
{"formula": "CeHoBi6", "functional": "PBE", "state": "optimized geometry", "cell": [[4.5994, 0.0000, -0.7901], [0.0000, 4.6090, 0.0000], [-0.3114, 0.0000, 11.9688]], "species": ["Ce", "Ho", "Bi", "Bi", "Bi", "Bi", "Bi", "Bi"], "frac_coords": [[0.8260, 0.0000, 0.6519], [0.1768, 0.5000, 0.3536], [0.5529, 0.5000, 0.1058], [0.4337, 0.0000, 0.8673], [0.3108, 0.5000, 0.6216], [0.6882, 0.0000, 0.3763], [0.9372, 0.5000, 0.8744], [0.0745, 0.0000, 0.1491]], "energy_ev_per_atom": -4.547, "dos_ef_per_ev_atom": 1.06, "space_group": "Amm2, No. 38"}

---

Record 13
{"formula": "Ce2Si4AgAu3", "functional": "PBE", "state": "optimized geometry", "cell": [[4.3947, 0.0000, 0.0000], [0.0000, 4.3947, 0.0000], [0.0000, 0.0000, 10.1243]], "species": ["Ce", "Ce", "Si", "Si", "Si", "Si", "Ag", "Au", "Au", "Au"], "frac_coords": [[0.5000, 0.0000, 0.2447], [0.0000, 0.5000, 0.7553], [0.5000, 0.5000, 0.0000], [0.0000, 0.0000, 0.0000], [0.5000, 0.0000, 0.6359], [0.0000, 0.5000, 0.3641], [0.5000, 0.5000, 0.5000], [0.0000, 0.0000, 0.5000], [0.5000, 0.0000, 0.8777], [0.0000, 0.5000, 0.1223]], "energy_ev_per_atom": -5.110, "dos_ef_per_ev_atom": 1.38, "space_group": "P-4m2, No. 115", "formation_energy_uncorrected_mev_per_atom": -485.6}

---

Record 14
{"formula": "CaMg2", "functional": "PBE", "state": "optimized geometry", "cell": [[1.9970, 6.2283, 7.8045], [-4.0671, 6.6832, 6.5180], [0.4388, -8.7636, -5.1669]], "species": ["Ca", "Ca", "Mg", "Mg", "Mg", "Mg"], "frac_coords": [[0.7500, 0.2500, 0.5000], [0.0000, 0.0000, 0.0000], [0.4229, 0.4229, 0.0000], [0.5771, 0.5771, 0.0000], [0.1729, 0.6729, 0.5000], [0.3271, 0.8271, 0.5000]], "energy_ev_per_atom": -1.646, "dos_ef_per_ev_atom": 0.80, "space_group": "I4_1/amd, No. 141"}

---

Record 15
{"formula": "TaAu5", "functional": "PBE", "state": "optimized geometry", "cell": [[5.0097, 0.0000, 0.0000], [-2.5049, 4.3386, 0.0000], [0.0000, 0.0000, 4.9197]], "species": ["Au", "Au", "Au", "Au", "Au", "Ta"], "frac_coords": [[0.0136, 0.0000, 0.0000], [0.6531, 0.3198, 0.0000], [0.3333, 0.6802, 0.0000], [0.0000, 0.3333, 0.5000], [0.6667, 0.6667, 0.5000], [0.3333, 0.0000, 0.5000]], "energy_ev_per_atom": -4.723, "dos_ef_per_ev_atom": 0.27, "space_group": "P-62m, No. 189"}

---

Record 16
{"formula": "Dy4Sb3P", "functional": "PBE", "state": "optimized geometry", "cell": [[-0.3716, 0.1382, -4.2531], [7.4124, 0.3543, -0.6361], [-2.1247, -7.1384, -0.0464]], "species": ["Sb", "Sb", "Sb", "P", "Dy", "Dy", "Dy", "Dy"], "frac_coords": [[0.0000, 0.0000, 0.5000], [0.5000, 0.5000, 0.5000], [0.0000, 0.5000, 0.0000], [0.5000, 0.0000, 0.0000], [0.0000, 0.2332, 0.2332], [0.5000, 0.7592, 0.2408], [0.0000, 0.7668, 0.7668], [0.5000, 0.2408, 0.7592]], "energy_ev_per_atom": -5.732, "dos_ef_per_ev_atom": 0.14, "space_group": "Cmmm, No. 65", "formation_energy_uncorrected_mev_per_atom": -1209.3}

---

Record 17
{"formula": "Zn2Pd3Au5", "functional": "PBE", "state": "optimized geometry", "cell": [[-2.9530, 4.3895, 1.5757], [-0.8444, -0.2345, 8.7397], [5.3513, 6.9581, 0.3139]], "species": ["Zn", "Zn", "Zn", "Zn", "Pd", "Pd", "Pd", "Pd", "Pd", "Pd", "Au", "Au", "Au", "Au", "Au", "Au", "Au", "Au", "Au", "Au"], "frac_coords": [[0.1125, 0.7475, 0.0274], [0.8875, 0.2525, 0.9726], [0.6125, 0.0274, 0.7475], [0.3875, 0.9726, 0.2525], [0.2500, 0.0000, 0.0000], [0.7500, 0.0000, 0.0000], [0.3489, 0.4548, 0.8475], [0.6511, 0.5452, 0.1525], [0.8489, 0.8475, 0.4548], [0.1511, 0.1525, 0.5452], [0.2500, 0.5000, 0.5000], [0.7500, 0.5000, 0.5000], [0.4977, 0.7523, 0.7523], [0.0023, 0.2477, 0.2477], [0.5023, 0.2477, 0.2477], [0.9977, 0.7523, 0.7523], [0.1243, 0.5433, 0.2081], [0.8757, 0.4567, 0.7919], [0.6243, 0.2081, 0.5433], [0.3757, 0.7919, 0.4567]], "energy_ev_per_atom": -3.431, "dos_ef_per_ev_atom": 0.36, "space_group": "Ibam, No. 72"}

---

Record 18
{"formula": "TbDy2Cd", "functional": "PBE", "state": "optimized geometry", "cell": [[-4.1381, -1.8310, -3.0141], [-1.1038, -5.3215, -0.1558], [-4.4792, -1.9190, 2.4115]], "species": ["Cd", "Tb", "Dy", "Dy"], "frac_coords": [[0.5000, 0.5000, 0.5000], [0.0000, 0.0000, 0.0000], [0.2500, 0.2500, 0.2500], [0.7500, 0.7500, 0.7500]], "energy_ev_per_atom": -3.698, "e_above_lowest_polymorph_ev_per_atom": 0.136, "dos_ef_per_ev_atom": 1.27, "space_group": "Fm-3m, No. 225"}

---

Record 19
{"formula": "TmSi3Rh5", "functional": "PBE", "state": "optimized geometry", "cell": [[-0.7441, -3.5034, 1.4562], [-3.4037, -5.2152, -14.2868], [14.6144, -0.8838, 5.3416]], "species": ["Tm", "Tm", "Tm", "Tm", "Tm", "Tm", "Si", "Si", "Si", "Si", "Si", "Si", "Si", "Si", "Si", "Si", "Si", "Si", "Si", "Si", "Si", "Si", "Si", "Si", "Rh", "Rh", "Rh", "Rh", "Rh", "Rh", "Rh", "Rh", "Rh", "Rh", "Rh", "Rh", "Rh", "Rh", "Rh", "Rh", "Rh", "Rh", "Rh", "Rh", "Rh", "Rh", "Rh", "Rh", "Rh", "Rh", "Rh", "Rh", "Rh", "Rh"], "frac_coords": [[0.2500, 0.0999, 0.3941], [0.7500, 0.3941, 0.2942], [0.7500, 0.7058, 0.0999], [0.2500, 0.2942, 0.9001], [0.2500, 0.6059, 0.7058], [0.7500, 0.9001, 0.6059], [0.7500, 0.2392, 0.5578], [0.2500, 0.5578, 0.3186], [0.2500, 0.6814, 0.2392], [0.7500, 0.3186, 0.7608], [0.7500, 0.4422, 0.6814], [0.2500, 0.7608, 0.4422], [0.2500, 0.8685, 0.1190], [0.7500, 0.1315, 0.8810], [0.7500, 0.7495, 0.8685], [0.2500, 0.8810, 0.7495], [0.2500, 0.0612, 0.6294], [0.7500, 0.6294, 0.5683], [0.7500, 0.4317, 0.0612], [0.2500, 0.5683, 0.9388], [0.2500, 0.3706, 0.4317], [0.7500, 0.9388, 0.3706], [0.7500, 0.1190, 0.2505], [0.2500, 0.2505, 0.1315], [0.7500, 0.0751, 0.5361], [0.7500, 0.5861, 0.8460], [0.7500, 0.1540, 0.7400], [0.2500, 0.8460, 0.2600], [0.2500, 0.4139, 0.1540], [0.2500, 0.7400, 0.5861], [0.7500, 0.7766, 0.3474], [0.2500, 0.3474, 0.5708], [0.2500, 0.4292, 0.7766], [0.7500, 0.5708, 0.2234], [0.7500, 0.6526, 0.4292], [0.2500, 0.2234, 0.6526], [0.7500, 0.9720, 0.8602], [0.2500, 0.8602, 0.8882], [0.2500, 0.1118, 0.9720], [0.7500, 0.8882, 0.0280], [0.7500, 0.1398, 0.1118], [0.2500, 0.0280, 0.1398], [0.2500, 0.5391, 0.0751], [0.7500, 0.4609, 0.9249], [0.7500, 0.4639, 0.5391], [0.2500, 0.9249, 0.4639], [0.2500, 0.2271, 0.2708], [0.7500, 0.2708, 0.0437], [0.7500, 0.9563, 0.2271], [0.2500, 0.0437, 0.7729], [0.2500, 0.7292, 0.9563], [0.7500, 0.7729, 0.7292], [0.7500, 0.2600, 0.4139], [0.2500, 0.5361, 0.4609]], "energy_ev_per_atom": -7.363, "e_above_lowest_polymorph_ev_per_atom": 0.000, "dos_ef_per_ev_atom": 0.50, "space_group": "P6_3/m, No. 176", "formation_energy_uncorrected_mev_per_atom": -973.9}

---

Record 20
{"formula": "Ti2FeGeH", "functional": "PBE", "state": "optimized geometry", "cell": [[-0.3532, -1.9653, 3.5030], [3.6741, -1.5790, -0.5155], [1.4791, 2.8676, 1.7579]], "species": ["H", "Ge", "Fe", "Ti", "Ti"], "frac_coords": [[0.0000, 0.0000, 0.0000], [0.5000, 0.5000, 0.5000], [0.0000, 0.0000, 0.5000], [0.0000, 0.5000, 0.0000], [0.5000, 0.0000, 0.0000]], "energy_ev_per_atom": -6.872, "dos_ef_per_ev_atom": 0.91, "space_group": "P4/mmm, No. 123"}

---

Record 21
{"formula": "Tc2IrRu", "functional": "PBE", "state": "optimized geometry", "cell": [[3.2587, 0.0000, 0.0000], [0.0000, 3.2587, 0.0000], [0.0000, 0.0000, 5.5717]], "species": ["Ir", "Ru", "Tc", "Tc"], "frac_coords": [[0.0000, 0.0000, 0.5082], [0.5000, 0.5000, 0.7374], [0.0000, 0.0000, 0.9958], [0.5000, 0.5000, 0.2585]], "energy_ev_per_atom": -9.403, "e_above_lowest_polymorph_ev_per_atom": 0.513, "dos_ef_per_ev_atom": 1.28, "space_group": "P4mm, No. 99"}

---

Record 22
{"formula": "SiPbBr", "functional": "PBE", "state": "optimized geometry", "cell": [[5.1339, 0.0000, 0.0000], [-2.5670, 4.4461, 0.0000], [0.0000, 0.0000, 3.3581]], "species": ["Br", "Pb", "Si"], "frac_coords": [[0.0000, 0.0000, 0.8337], [0.3333, 0.6667, 0.3334], [0.6667, 0.3333, 0.8329]], "energy_ev_per_atom": -3.253, "e_above_lowest_polymorph_ev_per_atom": 0.216, "dos_ef_per_ev_atom": 0.49, "space_group": "P-6m2, No. 187", "formation_energy_uncorrected_mev_per_atom": 348.4}

---

Total magnetic moment / μB/f.u.: 0.00; 0.00; 0.00; 0.48; 0.00; 13.27; 1.09; 0.00; 0.00; 0.00; 0.00; 0.78; 1.58; 0.00; 0.00; 0.00; 0.00; 0.00; 0.00; 1.71; 0.66; 0.00
V / A^3/atom: 19.05; 32.55; 17.02; 27.84; 10.39; 21.45; 16.90; 15.23; 28.37; 24.92; 17.91; 31.57; 19.55; 31.22; 17.82; 27.97; 18.95; 28.41; 15.06; 11.95; 14.79; 25.55